Run w
VASP calculation (PBE-GGA) on HfSiMo after structural relaxation.

Properties
mass density = 10.126 g/cm3

Lattice parameters (Å, degrees): 4.4681 4.4681 5.7389 90.00 90.00 120.00
With the nearest neighbours (Å) after each atom.
Sites, in units of the cell vectors:
Hf (0.0000, 0.0000, 0.0000)  2 Hf 2.87, 6 Si 2.95, 6 Mo 2.95
Hf (0.0000, 0.0000, 0.5000)  2 Hf 2.87, 6 Mo 2.95, 6 Si 2.95
Si (0.3333, 0.6667, 0.2500)  5 Mo 2.58-2.87
Si (0.6667, 0.3333, 0.7500)  5 Mo 2.58-2.87
Mo (0.3333, 0.6667, 0.7500)  5 Si 2.58-2.87
Mo (0.6667, 0.3333, 0.2500)  5 Si 2.58-2.87


Run x
VASP calculation (PBE-GGA) on HfSiMo after structural relaxation.

Properties
mass density = 8.121 g/cm3

Lattice parameters (Å, degrees): 6.2779 6.2779 6.2779 90.00 90.00 90.00
With the nearest neighbours (Å) after each atom.
Sites, in units of the cell vectors:
Hf (0.0000, 0.0000, 0.0000)  4 Mo 2.72, 4 Si 2.72
Hf (0.0000, 0.5000, 0.5000)  4 Mo 2.72, 4 Si 2.72
Hf (0.5000, 0.0000, 0.5000)  4 Mo 2.72, 4 Si 2.72
Hf (0.5000, 0.5000, 0.0000)  4 Mo 2.72, 4 Si 2.72
Si (0.2500, 0.2500, 0.2500)  4 Hf 2.72
Si (0.2500, 0.7500, 0.7500)  4 Hf 2.72
Si (0.7500, 0.2500, 0.7500)  4 Hf 2.72
Si (0.7500, 0.7500, 0.2500)  4 Hf 2.72
Mo (0.2500, 0.2500, 0.7500)  4 Hf 2.72
Mo (0.2500, 0.7500, 0.2500)  4 Hf 2.72
Mo (0.7500, 0.2500, 0.2500)  4 Hf 2.72
Mo (0.7500, 0.7500, 0.7500)  4 Hf 2.72


Energy ordering: run w at the bottom, the next structure 1083 meV per atom above.


Run w
VASP calculation (PBE-GGA) on TlTcAgTe2Se after structural relaxation.

Properties
mass density = 7.905 g/cm3

Lattice parameters (Å, degrees): 7.9549 7.9549 10.3575 90.00 90.00 151.50
With the nearest neighbours (Å) after each atom.
Sites, in units of the cell vectors:
Tl (0.2420, 0.7580, 0.7500)  6 Te 3.44-3.55, 2 Se 3.51, 2 Ag 3.64
Tl (0.7580, 0.2420, 0.2500)  6 Te 3.44-3.55, 2 Se 3.51, 2 Ag 3.64
Tc (0.0000, 0.0000, 0.0000)  4 Te 2.79, 2 Se 2.80
Tc (0.0000, 0.0000, 0.5000)  4 Te 2.79, 2 Se 2.80
Ag (0.4573, 0.5427, 0.2500)  2 Se 2.61, 2 Te 2.72
Ag (0.5427, 0.4573, 0.7500)  2 Se 2.61, 2 Te 2.72
Te (0.3721, 0.6279, 0.0200)  1 Ag 2.72, 2 Tc 2.79
Te (0.3721, 0.6279, 0.4800)  1 Ag 2.72, 2 Tc 2.79
Te (0.6279, 0.3721, 0.5200)  1 Ag 2.72, 2 Tc 2.79
Te (0.6279, 0.3721, 0.9800)  1 Ag 2.72, 2 Tc 2.79
Se (0.0688, 0.9312, 0.2500)  2 Ag 2.61, 2 Tc 2.80
Se (0.9312, 0.0688, 0.7500)  2 Ag 2.61, 2 Tc 2.80


Run x
VASP calculation (PBE-GGA) on TlTcAgTe2Se after structural relaxation.

Properties
mass density = 7.975 g/cm3

Lattice parameters (Å, degrees): 8.3378 3.8751 10.2834 90.00 111.08 90.00
With the nearest neighbours (Å) after each atom.
Sites, in units of the cell vectors:
Tl (0.2381, 0.2500, 0.2281)  2 Se 3.41, 6 Te 3.47-3.66
Tl (0.7619, 0.7500, 0.7719)  2 Se 3.41, 6 Te 3.47-3.66
Tc (0.1832, 0.7500, 0.6592)  3 Se 2.56-2.60, 3 Te 2.71-2.73
Tc (0.8168, 0.2500, 0.3408)  3 Se 2.56-2.60, 3 Te 2.71-2.73
Ag (0.4376, 0.2500, 0.8854)  4 Te 2.71-2.90, 2 Ag 2.94
Ag (0.5624, 0.7500, 0.1146)  4 Te 2.71-2.90, 2 Ag 2.94
Te (0.2061, 0.7500, 0.9287)  1 Tc 2.71, 3 Ag 2.88-2.90
Te (0.3848, 0.2500, 0.6091)  1 Ag 2.71, 2 Tc 2.73
Te (0.6152, 0.7500, 0.3909)  1 Ag 2.71, 2 Tc 2.73
Te (0.7939, 0.2500, 0.0713)  1 Tc 2.71, 3 Ag 2.88-2.90
Se (0.0304, 0.7500, 0.3903)  3 Tc 2.56-2.60
Se (0.9696, 0.2500, 0.6097)  3 Tc 2.56-2.60


Energy ordering: run x at the bottom, the next structure 118 meV per atom above.


Run w
VASP calculation (PBE-GGA) on ScZnFeSb after structural relaxation.

Properties
mass density = 6.592 g/cm3

Lattice parameters (Å, degrees): 6.6203 6.6203 6.6203 90.00 90.00 90.00
With the nearest neighbours (Å) after each atom.
Sites, in units of the cell vectors:
Sc (0.0000, 0.0000, 0.0000)  4 Fe 2.87, 4 Sb 2.87
Sc (0.0000, 0.5000, 0.5000)  4 Fe 2.87, 4 Sb 2.87
Sc (0.5000, 0.0000, 0.5000)  4 Fe 2.87, 4 Sb 2.87
Sc (0.5000, 0.5000, 0.0000)  4 Fe 2.87, 4 Sb 2.87
Zn (0.0000, 0.0000, 0.5000)  4 Sb 2.87, 4 Fe 2.87
Zn (0.0000, 0.5000, 0.0000)  4 Sb 2.87, 4 Fe 2.87
Zn (0.5000, 0.0000, 0.0000)  4 Sb 2.87, 4 Fe 2.87
Zn (0.5000, 0.5000, 0.5000)  4 Sb 2.87, 4 Fe 2.87
Fe (0.2500, 0.2500, 0.7500)  4 Sc 2.87, 4 Zn 2.87
Fe (0.2500, 0.7500, 0.2500)  4 Sc 2.87, 4 Zn 2.87
Fe (0.7500, 0.2500, 0.2500)  4 Sc 2.87, 4 Zn 2.87
Fe (0.7500, 0.7500, 0.7500)  4 Zn 2.87, 4 Sc 2.87
Sb (0.2500, 0.2500, 0.2500)  4 Sc 2.87, 4 Zn 2.87
Sb (0.2500, 0.7500, 0.7500)  4 Sc 2.87, 4 Zn 2.87
Sb (0.7500, 0.2500, 0.7500)  4 Sc 2.87, 4 Zn 2.87
Sb (0.7500, 0.7500, 0.2500)  4 Sc 2.87, 4 Zn 2.87


Run x
VASP calculation (PBE-GGA) on ScZnFeSb after structural relaxation.

Properties
mass density = 7.330 g/cm3

Lattice parameters (Å, degrees): 6.3904 6.3904 6.3904 90.00 90.00 90.00
With the nearest neighbours (Å) after each atom.
Sites, in units of the cell vectors:
Sc (0.0000, 0.0000, 0.0000)  4 Zn 2.77, 4 Fe 2.77
Sc (0.0000, 0.5000, 0.5000)  4 Zn 2.77, 4 Fe 2.77
Sc (0.5000, 0.0000, 0.5000)  4 Zn 2.77, 4 Fe 2.77
Sc (0.5000, 0.5000, 0.0000)  4 Zn 2.77, 4 Fe 2.77
Zn (0.2500, 0.2500, 0.2500)  4 Sb 2.77, 4 Sc 2.77
Zn (0.2500, 0.7500, 0.7500)  4 Sb 2.77, 4 Sc 2.77
Zn (0.7500, 0.2500, 0.7500)  4 Sb 2.77, 4 Sc 2.77
Zn (0.7500, 0.7500, 0.2500)  4 Sb 2.77, 4 Sc 2.77
Fe (0.2500, 0.2500, 0.7500)  4 Sb 2.77, 4 Sc 2.77
Fe (0.2500, 0.7500, 0.2500)  4 Sb 2.77, 4 Sc 2.77
Fe (0.7500, 0.2500, 0.2500)  4 Sb 2.77, 4 Sc 2.77
Fe (0.7500, 0.7500, 0.7500)  4 Sb 2.77, 4 Sc 2.77
Sb (0.0000, 0.0000, 0.5000)  4 Fe 2.77, 4 Zn 2.77
Sb (0.0000, 0.5000, 0.0000)  4 Fe 2.77, 4 Zn 2.77
Sb (0.5000, 0.0000, 0.0000)  4 Fe 2.77, 4 Zn 2.77
Sb (0.5000, 0.5000, 0.5000)  4 Fe 2.77, 4 Zn 2.77


Energy ordering: run x at the bottom, the next structure 109 meV per atom above.


Run w
VASP calculation (PBE-GGA) on Cu2Ag3 after structural relaxation.

Properties
mass density = 9.637 g/cm3

Lattice parameters (Å, degrees): 4.8623 4.8623 8.8381 90.77 90.77 48.02
With the nearest neighbours (Å) after each atom.
Sites, in units of the cell vectors:
Cu (0.0000, 0.0000, 0.0000)  7 Ag 2.63-2.88, 5 Cu 2.64-2.89
Cu (0.1809, 0.1809, 0.3647)  3 Cu 2.57-2.69, 8 Ag 2.79-2.88
Cu (0.2840, 0.2840, 0.0940)  5 Cu 2.57-2.79, 5 Ag 2.65-2.76
Cu (0.5827, 0.5827, 0.1819)  5 Ag 2.64-2.80, 7 Cu 2.65-2.79
Ag (0.0902, 0.0902, 0.6886)  10 Ag 2.82-2.92, 2 Cu 2.88-2.98
Ag (0.3946, 0.3946, 0.8034)  3 Cu 2.76-2.79, 9 Ag 2.81-3.06
Ag (0.4884, 0.4884, 0.4711)  4 Cu 2.70-2.88, 7 Ag 2.80-2.89
Ag (0.6963, 0.6963, 0.9081)  6 Cu 2.64-2.81, 5 Ag 2.81-2.92
Ag (0.7863, 0.7863, 0.5781)  10 Ag 2.80-3.04, 2 Cu 2.88
Ag (0.8795, 0.8795, 0.2694)  9 Cu 2.63-2.80, 3 Ag 2.82-2.86


Run x
VASP calculation (PBE-GGA) on Cu2Ag3 after structural relaxation.

Properties
mass density = 9.634 g/cm3

Lattice parameters (Å, degrees): 7.4221 7.4221 4.8395 96.06 96.06 141.97
With the nearest neighbours (Å) after each atom.
Sites, in units of the cell vectors:
Cu (0.0501, 0.9499, 0.7500)  3 Cu 2.75-2.80, 9 Ag 2.78-2.83
Cu (0.2463, 0.7537, 0.7500)  9 Ag 2.74-2.87, 3 Cu 2.75-2.81
Cu (0.7537, 0.2463, 0.2500)  9 Ag 2.74-2.87, 3 Cu 2.75-2.81
Cu (0.9499, 0.0501, 0.2500)  3 Cu 2.75-2.80, 9 Ag 2.78-2.83
Ag (0.1482, 0.8518, 0.2500)  5 Ag 2.77-2.81, 7 Cu 2.78-2.84
Ag (0.3457, 0.6543, 0.2500)  6 Cu 2.74-2.83, 6 Ag 2.77-2.86
Ag (0.4508, 0.5492, 0.7500)  7 Ag 2.79-2.86, 5 Cu 2.79-2.87
Ag (0.5492, 0.4508, 0.2500)  7 Ag 2.79-2.86, 5 Cu 2.79-2.87
Ag (0.6543, 0.3457, 0.7500)  6 Cu 2.74-2.83, 6 Ag 2.77-2.86
Ag (0.8518, 0.1482, 0.7500)  5 Ag 2.77-2.81, 7 Cu 2.78-2.84


Energy ordering: run w at the bottom, the next structure 18 meV per atom above.


Run w
VASP calculation (PBE-GGA) on NaPmTc after structural relaxation.

Properties
mass density = 5.579 g/cm3

Lattice parameters (Å, degrees): 6.8163 6.8163 6.8163 90.00 90.00 90.00
With the nearest neighbours (Å) after each atom.
Sites, in units of the cell vectors:
Na (0.0000, 0.0000, 0.0000)  4 Pm 2.95
Na (0.0000, 0.5000, 0.5000)  4 Pm 2.95
Na (0.5000, 0.0000, 0.5000)  4 Pm 2.95
Na (0.5000, 0.5000, 0.0000)  4 Pm 2.95
Pm (0.2500, 0.2500, 0.2500)  4 Na 2.95, 4 Tc 2.95
Pm (0.2500, 0.7500, 0.7500)  4 Na 2.95, 4 Tc 2.95
Pm (0.7500, 0.2500, 0.7500)  4 Na 2.95, 4 Tc 2.95
Pm (0.7500, 0.7500, 0.2500)  4 Na 2.95, 4 Tc 2.95
Tc (0.0000, 0.0000, 0.5000)  4 Pm 2.95
Tc (0.0000, 0.5000, 0.0000)  4 Pm 2.95
Tc (0.5000, 0.0000, 0.0000)  4 Pm 2.95
Tc (0.5000, 0.5000, 0.5000)  4 Pm 2.95


Run x
VASP calculation (PBE-GGA) on NaPmTc after structural relaxation.

Properties
mass density = 5.857 g/cm3

Lattice parameters (Å, degrees): 6.7065 6.7065 6.7065 90.00 90.00 90.00
With the nearest neighbours (Å) after each atom.
Sites, in units of the cell vectors:
Na (0.0000, 0.0000, 0.0000)  4 Tc 2.90, 4 Pm 2.90
Na (0.0000, 0.5000, 0.5000)  4 Tc 2.90, 4 Pm 2.90
Na (0.5000, 0.0000, 0.5000)  4 Tc 2.90, 4 Pm 2.90
Na (0.5000, 0.5000, 0.0000)  4 Tc 2.90, 4 Pm 2.90
Pm (0.2500, 0.2500, 0.7500)  4 Na 2.90
Pm (0.2500, 0.7500, 0.2500)  4 Na 2.90
Pm (0.7500, 0.2500, 0.2500)  4 Na 2.90
Pm (0.7500, 0.7500, 0.7500)  4 Na 2.90
Tc (0.2500, 0.2500, 0.2500)  4 Na 2.90
Tc (0.2500, 0.7500, 0.7500)  4 Na 2.90
Tc (0.7500, 0.2500, 0.7500)  4 Na 2.90
Tc (0.7500, 0.7500, 0.2500)  4 Na 2.90


Energy ordering: run x at the bottom, the next structure 21 meV per atom above.


Run w
VASP calculation (PBE-GGA) on PrHfNO after structural relaxation.

Properties
mass density = 7.575 g/cm3

Lattice parameters (Å, degrees): 4.2687 4.2687 8.4062 90.00 90.00 90.00
With the nearest neighbours (Å) after each atom.
Sites, in units of the cell vectors:
Pr (0.2500, 0.2500, 0.1277)  4 O 2.39
Pr (0.7500, 0.7500, 0.8723)  4 O 2.39
Hf (0.2500, 0.7500, 0.5000)  4 N 2.14
Hf (0.7500, 0.2500, 0.5000)  4 N 2.14
N (0.2500, 0.2500, 0.5237)  4 Hf 2.14
N (0.7500, 0.7500, 0.4763)  4 Hf 2.14
O (0.2500, 0.7500, 0.0000)  4 Pr 2.39
O (0.7500, 0.2500, 0.0000)  4 Pr 2.39


Run x
VASP calculation (PBE-GGA) on PrHfNO after structural relaxation.

Properties
mass density = 9.078 g/cm3

Lattice parameters (Å, degrees): 4.5407 4.5407 6.1996 90.00 90.00 90.00
With the nearest neighbours (Å) after each atom.
Sites, in units of the cell vectors:
Pr (0.2500, 0.7500, 0.0000)  4 N 2.46
Pr (0.7500, 0.2500, 0.0000)  4 N 2.46
Hf (0.2500, 0.2500, 0.4665)  1 N 1.96
Hf (0.7500, 0.7500, 0.5335)  1 N 1.96
N (0.2500, 0.2500, 0.1511)  1 Hf 1.96
N (0.7500, 0.7500, 0.8489)  1 Hf 1.96
O (0.2500, 0.7500, 0.5000)  4 Hf 2.28
O (0.7500, 0.2500, 0.5000)  4 Hf 2.28


Energy ordering: run w at the bottom, the next structure 209 meV per atom above.